Run i
VASP calculation (PBE) on a relaxed RbBaMg14 crystal.

Geometry as CIF:
```
data_RbBaMg14
_symmetry_space_group_name_H-M 'P -6 m 2'
_symmetry_Int_Tables_number 187
_symmetry_space_group_name_Hall 'P -6 2'
_cell_length_a 6.9486
_cell_length_b 6.9486
_cell_length_c 10.6874
_cell_angle_alpha 90.00
_cell_angle_beta 90.00
_cell_angle_gamma 120.00
loop_
_atom_site_label
_atom_site_fract_x
_atom_site_fract_y
_atom_site_fract_z
Rb1 0.0000 0.0000 0.0000
Ba1 0.0000 0.0000 0.5000
Mg1 0.0092 0.5046 0.0000
Mg2 0.0130 0.5065 0.5000
Mg3 0.1821 0.3642 0.2511
Mg4 0.6667 0.3333 0.2540
```

Run ii
VASP calculation (PBE) on a relaxed RbBaMg14 crystal.

Geometry as CIF:
```
data_RbBaMg14
_symmetry_space_group_name_H-M 'A m m 2'
_symmetry_Int_Tables_number 38
_symmetry_space_group_name_Hall 'A 2 -2'
_cell_length_a 10.9989
_cell_length_b 6.8574
_cell_length_c 11.4239
_cell_angle_alpha 90.00
_cell_angle_beta 90.00
_cell_angle_gamma 90.00
loop_
_atom_site_label
_atom_site_fract_x
_atom_site_fract_y
_atom_site_fract_z
Rb1 0.0000 0.0000 0.0000
Ba1 0.0000 0.0000 0.4981
Mg1 0.0000 0.2479 0.7501
Mg2 0.2503 0.0000 0.2414
Mg3 0.2510 0.0000 0.7339
Mg4 0.2853 0.2483 0.9847
Mg5 0.5000 0.0000 0.3986
Mg6 0.5000 0.0000 0.8944
Mg7 0.5000 0.2462 0.1604
```

Most stable of them? run ii.

Run i
VASP calculation (PBE) on a relaxed BaMg2Rh2 crystal.

Geometry as CIF:
```
data_BaMg2Rh2
_symmetry_space_group_name_H-M 'P 4/m b m'
_symmetry_Int_Tables_number 127
_symmetry_space_group_name_Hall '-P 4 2ab'
_cell_length_a 8.0202
_cell_length_b 8.0202
_cell_length_c 3.1480
_cell_angle_alpha 90.00
_cell_angle_beta 90.00
_cell_angle_gamma 90.00
loop_
_atom_site_label
_atom_site_fract_x
_atom_site_fract_y
_atom_site_fract_z
Ba1 0.0000 0.0000 0.0000
Mg1 0.1306 0.3694 0.5000
Rh1 0.1559 0.6559 0.0000
```

Run ii
VASP calculation (PBE) on a relaxed BaMg2Rh2 crystal.

Geometry as CIF:
```
data_BaMg2Rh2
_symmetry_space_group_name_H-M 'I 4/m m m'
_symmetry_Int_Tables_number 139
_symmetry_space_group_name_Hall '-I 4 2'
_cell_length_a 4.4453
_cell_length_b 4.4453
_cell_length_c 11.3848
_cell_angle_alpha 90.00
_cell_angle_beta 90.00
_cell_angle_gamma 90.00
loop_
_atom_site_label
_atom_site_fract_x
_atom_site_fract_y
_atom_site_fract_z
Ba1 0.0000 0.0000 0.0000
Mg1 0.0000 0.5000 0.2500
Rh1 0.0000 0.0000 0.3864
```

Run iii
VASP calculation (PBE) on a relaxed BaMg2Rh2 crystal.

Geometry as CIF:
```
data_BaMg2Rh2
_symmetry_space_group_name_H-M 'P 4/m b m'
_symmetry_Int_Tables_number 127
_symmetry_space_group_name_Hall '-P 4 2ab'
_cell_length_a 8.0899
_cell_length_b 8.0899
_cell_length_c 3.1097
_cell_angle_alpha 90.00
_cell_angle_beta 90.00
_cell_angle_gamma 90.00
loop_
_atom_site_label
_atom_site_fract_x
_atom_site_fract_y
_atom_site_fract_z
Ba1 0.0000 0.0000 0.0000
Mg1 0.1246 0.3754 0.0000
Rh1 0.1622 0.6622 0.5000
```

Most stable of them? run ii.

Run i
VASP calculation (PBE) on a relaxed BaSr2MgRh crystal.

Geometry as CIF:
```
data_BaSr2MgRh
_symmetry_space_group_name_H-M 'P 4/m m m'
_symmetry_Int_Tables_number 123
_symmetry_space_group_name_Hall '-P 4 2'
_cell_length_a 5.8746
_cell_length_b 5.8746
_cell_length_c 5.9996
_cell_angle_alpha 90.00
_cell_angle_beta 90.00
_cell_angle_gamma 90.00
loop_
_atom_site_label
_atom_site_fract_x
_atom_site_fract_y
_atom_site_fract_z
Ba1 0.0000 0.0000 0.0000
Sr1 0.0000 0.5000 0.5000
Mg1 0.5000 0.5000 0.0000
Rh1 0.0000 0.0000 0.5000
```

Run ii
VASP calculation (PBE) on a relaxed BaSr2MgRh crystal.

Geometry as CIF:
```
data_BaSr2MgRh
_symmetry_space_group_name_H-M 'P 4/m m m'
_symmetry_Int_Tables_number 123
_symmetry_space_group_name_Hall '-P 4 2'
_cell_length_a 5.8680
_cell_length_b 5.8680
_cell_length_c 5.4166
_cell_angle_alpha 90.00
_cell_angle_beta 90.00
_cell_angle_gamma 90.00
loop_
_atom_site_label
_atom_site_fract_x
_atom_site_fract_y
_atom_site_fract_z
Ba1 0.0000 0.0000 0.0000
Sr1 0.0000 0.5000 0.5000
Mg1 0.5000 0.5000 0.0000
Rh1 0.5000 0.5000 0.5000
```

Most stable of them? run ii.

Run i
VASP calculation (PBE) on a relaxed Ba2SrMgRh crystal.

Geometry as CIF:
```
data_Ba2SrMgRh
_symmetry_space_group_name_H-M 'P 4/m m m'
_symmetry_Int_Tables_number 123
_symmetry_space_group_name_Hall '-P 4 2'
_cell_length_a 6.0588
_cell_length_b 6.0588
_cell_length_c 5.8938
_cell_angle_alpha 90.00
_cell_angle_beta 90.00
_cell_angle_gamma 90.00
loop_
_atom_site_label
_atom_site_fract_x
_atom_site_fract_y
_atom_site_fract_z
Ba1 0.0000 0.5000 0.0000
Sr1 0.0000 0.0000 0.5000
Mg1 0.5000 0.5000 0.5000
Rh1 0.0000 0.0000 0.0000
```

Run ii
VASP calculation (PBE) on a relaxed Ba2SrMgRh crystal.

Geometry as CIF:
```
data_Ba2SrMgRh
_symmetry_space_group_name_H-M 'P 4/m m m'
_symmetry_Int_Tables_number 123
_symmetry_space_group_name_Hall '-P 4 2'
_cell_length_a 6.0853
_cell_length_b 6.0853
_cell_length_c 5.4107
_cell_angle_alpha 90.00
_cell_angle_beta 90.00
_cell_angle_gamma 90.00
loop_
_atom_site_label
_atom_site_fract_x
_atom_site_fract_y
_atom_site_fract_z
Ba1 0.0000 0.5000 0.0000
Sr1 0.0000 0.0000 0.5000
Mg1 0.5000 0.5000 0.5000
Rh1 0.5000 0.5000 0.0000
```

Most stable of them? run i.

Run i
VASP calculation (PBE) on a relaxed Ba2MgRu crystal.

Geometry as CIF:
```
data_Ba2MgRu
_symmetry_space_group_name_H-M 'C m m m'
_symmetry_Int_Tables_number 65
_symmetry_space_group_name_Hall '-C 2 2'
_cell_length_a 7.6919
_cell_length_b 7.7064
_cell_length_c 4.3154
_cell_angle_alpha 90.00
_cell_angle_beta 90.00
_cell_angle_gamma 90.00
loop_
_atom_site_label
_atom_site_fract_x
_atom_site_fract_y
_atom_site_fract_z
Ba1 0.2500 0.2500 0.0000
Mg1 0.0000 0.0000 0.5000
Ru1 0.0000 0.5000 0.5000
```

Run ii
VASP calculation (PBE) on a relaxed Ba2MgRu crystal.

Geometry as CIF:
```
data_Ba2MgRu
_symmetry_space_group_name_H-M 'P m m m'
_symmetry_Int_Tables_number 47
_symmetry_space_group_name_Hall '-P 2 2'
_cell_length_a 3.7564
_cell_length_b 3.8050
_cell_length_c 9.1878
_cell_angle_alpha 90.00
_cell_angle_beta 90.00
_cell_angle_gamma 90.00
loop_
_atom_site_label
_atom_site_fract_x
_atom_site_fract_y
_atom_site_fract_z
Ba1 0.0000 0.0000 0.2011
Mg1 0.5000 0.5000 0.5000
Ru1 0.5000 0.5000 0.0000
```

Most stable of them? run ii.

Run i
VASP calculation (PBE) on a relaxed Ba2MgRu crystal.

Geometry as CIF:
```
data_Ba2MgRu
_symmetry_space_group_name_H-M 'P 4 m m'
_symmetry_Int_Tables_number 99
_symmetry_space_group_name_Hall 'P 4 -2'
_cell_length_a 3.7766
_cell_length_b 3.7766
_cell_length_c 9.3150
_cell_angle_alpha 90.00
_cell_angle_beta 90.00
_cell_angle_gamma 90.00
loop_
_atom_site_label
_atom_site_fract_x
_atom_site_fract_y
_atom_site_fract_z
Ba1 0.0000 0.0000 0.0000
Ba2 0.5000 0.5000 0.4241
Mg1 0.0000 0.0000 0.6700
Ru1 0.5000 0.5000 0.7496
```

Run ii
VASP calculation (PBE) on a relaxed Ba2MgRu crystal.

Geometry as CIF:
```
data_Ba2MgRu
_symmetry_space_group_name_H-M 'F m -3 m'
_symmetry_Int_Tables_number 225
_symmetry_space_group_name_Hall '-F 4 2 3'
_cell_length_a 7.9578
_cell_length_b 7.9578
_cell_length_c 7.9578
_cell_angle_alpha 90.00
_cell_angle_beta 90.00
_cell_angle_gamma 90.00
loop_
_atom_site_label
_atom_site_fract_x
_atom_site_fract_y
_atom_site_fract_z
Ba1 0.2500 0.2500 0.2500
Mg1 0.0000 0.0000 0.0000
Ru1 0.0000 0.0000 0.5000
```

Run iii
VASP calculation (PBE) on a relaxed Ba2MgRu crystal.

Geometry as CIF:
```
data_Ba2MgRu
_symmetry_space_group_name_H-M 'I -4 2 d'
_symmetry_Int_Tables_number 122
_symmetry_space_group_name_Hall 'I -4 2bw'
_cell_length_a 11.4060
_cell_length_b 11.4060
_cell_length_c 5.1857
_cell_angle_alpha 90.00
_cell_angle_beta 90.00
_cell_angle_gamma 90.00
loop_
_atom_site_label
_atom_site_fract_x
_atom_site_fract_y
_atom_site_fract_z
Ba1 0.0686 0.2500 0.1250
Mg1 0.0000 0.0000 0.5000
Ru1 0.0000 0.0000 0.0000
```

Most stable of them? run i.

Run i
VASP calculation (PBE) on a relaxed BaMgRu2Se crystal.

Geometry as CIF:
```
data_BaMgRu2Se
_symmetry_space_group_name_H-M 'P 4/m m m'
_symmetry_Int_Tables_number 123
_symmetry_space_group_name_Hall '-P 4 2'
_cell_length_a 4.7709
_cell_length_b 4.7709
_cell_length_c 5.0271
_cell_angle_alpha 90.00
_cell_angle_beta 90.00
_cell_angle_gamma 90.00
loop_
_atom_site_label
_atom_site_fract_x
_atom_site_fract_y
_atom_site_fract_z
Ba1 0.0000 0.0000 0.0000
Mg1 0.5000 0.5000 0.0000
Ru1 0.0000 0.5000 0.5000
Se1 0.5000 0.5000 0.5000
```

Run ii
VASP calculation (PBE) on a relaxed BaMgRu2Se crystal.

Geometry as CIF:
```
data_BaMgRu2Se
_symmetry_space_group_name_H-M 'P 4/m m m'
_symmetry_Int_Tables_number 123
_symmetry_space_group_name_Hall '-P 4 2'
_cell_length_a 4.7553
_cell_length_b 4.7553
_cell_length_c 6.3722
_cell_angle_alpha 90.00
_cell_angle_beta 90.00
_cell_angle_gamma 90.00
loop_
_atom_site_label
_atom_site_fract_x
_atom_site_fract_y
_atom_site_fract_z
Ba1 0.0000 0.0000 0.0000
Mg1 0.0000 0.0000 0.5000
Ru1 0.0000 0.5000 0.5000
Se1 0.5000 0.5000 0.0000
```

Most stable of them? run i.

Run i
VASP calculation (PBE) on a relaxed BaMg2SiRu crystal.

Geometry as CIF:
```
data_BaMg2SiRu
_symmetry_space_group_name_H-M 'P 4/m m m'
_symmetry_Int_Tables_number 123
_symmetry_space_group_name_Hall '-P 4 2'
_cell_length_a 4.9422
_cell_length_b 4.9422
_cell_length_c 6.2834
_cell_angle_alpha 90.00
_cell_angle_beta 90.00
_cell_angle_gamma 90.00
loop_
_atom_site_label
_atom_site_fract_x
_atom_site_fract_y
_atom_site_fract_z
Ba1 0.0000 0.0000 0.0000
Mg1 0.0000 0.5000 0.5000
Si1 0.0000 0.0000 0.5000
Ru1 0.5000 0.5000 0.0000
```

Run ii
VASP calculation (PBE) on a relaxed BaMg2SiRu crystal.

Geometry as CIF:
```
data_BaMg2SiRu
_symmetry_space_group_name_H-M 'P 4/m m m'
_symmetry_Int_Tables_number 123
_symmetry_space_group_name_Hall '-P 4 2'
_cell_length_a 5.1057
_cell_length_b 5.1057
_cell_length_c 4.6863
_cell_angle_alpha 90.00
_cell_angle_beta 90.00
_cell_angle_gamma 90.00
loop_
_atom_site_label
_atom_site_fract_x
_atom_site_fract_y
_atom_site_fract_z
Ba1 0.0000 0.0000 0.0000
Mg1 0.0000 0.5000 0.5000
Si1 0.5000 0.5000 0.0000
Ru1 0.5000 0.5000 0.5000
```

Most stable of them? run ii.